A plane-wave DFT calculation with GGA-PBEsol was carried out for a relaxed InHgCl crystal.

Output
Its uncorrected formation energy is -0.41 eV/atom. The value obtained for the offset from the most stable computed form is 0.007 eV/atom.

Unit cell a=4.4887 b=4.4887 c=4.9073 alpha=90.00 beta=90.00 gamma=120.00
Space group P3m1 (No. 156)
Unique sites:
In  0.0000  0.0000  0.0000
Hg  0.6667  0.3333  0.3201
Cl  0.3333  0.6667  0.7175

***

A plane-wave DFT calculation with GGA-PBEsol was carried out for a relaxed In2HgCl2 crystal.

Output
Its uncorrected formation energy is -0.56 eV/atom. The value obtained for the offset from the most stable computed form is 0.000 eV/atom.

Unit cell a=7.9526 b=7.9526 c=4.2036 alpha=90.00 beta=90.00 gamma=90.00
Space group P4/mbm (No. 127)
Unique sites:
In  0.1449  0.3551  0.0000
Hg  0.0000  0.0000  0.0000
Cl  0.1688  0.6688  0.5000

***

A plane-wave DFT calculation with GGA-PBEsol was carried out for a relaxed In2HgCl2 crystal.

Output
Its uncorrected formation energy is -0.50 eV/atom. The value obtained for the offset from the most stable computed form is 0.059 eV/atom.

Unit cell a=4.8088 b=4.8088 c=13.5121 alpha=90.00 beta=90.00 gamma=90.00
Space group I4/mmm (No. 139)
Unique sites:
In  0.0000  0.0000  0.1328
Hg  0.0000  0.0000  0.5000
Cl  0.0000  0.5000  0.2500

***

A plane-wave DFT calculation with GGA-PBEsol was carried out for a relaxed InHgCl2 crystal.

Output
Its uncorrected formation energy is -0.30 eV/atom.

Unit cell a=3.6710 b=3.6710 c=27.8173 alpha=90.00 beta=90.00 gamma=120.00
Space group R-3m (No. 166, hexagonal axes)
Unique sites:
In  0.0000  0.0000  0.0000
Hg  0.0000  0.0000  0.5000
Cl  0.0000  0.0000  0.1040

***

A plane-wave DFT calculation with GGA-PBEsol was carried out for a relaxed InHg4Cl crystal.

Output
Its uncorrected formation energy is -0.10 eV/atom.

Unit cell a=8.5147 b=8.5147 c=8.5147 alpha=90.00 beta=90.00 gamma=90.00
Space group F-43m (No. 216)
Unique sites:
In  0.0000  0.0000  0.0000
Hg  0.1246  0.1246  0.6246
Cl  0.2500  0.2500  0.2500

***

A plane-wave DFT calculation with GGA-PBEsol was carried out for a relaxed InHgCl crystal.

Output
Its uncorrected formation energy is -0.42 eV/atom. The value obtained for the offset from the most stable computed form is 0.000 eV/atom.

Unit cell a=3.6360 b=3.6360 c=11.9004 alpha=90.00 beta=90.00 gamma=90.00
Space group I4mm (No. 107)
Unique sites:
In  0.0000  0.0000  0.0000
Hg  0.0000  0.0000  0.3202
Cl  0.0000  0.0000  0.6270

***

A plane-wave DFT calculation with GGA-PBEsol was carried out for a relaxed InHgMoCl2 crystal.

Output
Its uncorrected formation energy is -0.07 eV/atom.

Unit cell a=4.5925 b=4.5925 c=5.6604 alpha=90.00 beta=90.00 gamma=90.00
Space group P4/mmm (No. 123)
Unique sites:
In  0.0000  0.0000  0.0000
Hg  0.5000  0.5000  0.0000
Mo  0.0000  0.0000  0.5000
Cl  0.0000  0.5000  0.5000

***

A plane-wave DFT calculation with GGA-PBEsol was carried out for a relaxed InHg2NCl crystal.

Output
Its uncorrected formation energy is 0.57 eV/atom.

Unit cell a=5.6284 b=5.6284 c=3.9858 alpha=90.00 beta=90.00 gamma=90.00
Space group P4/mmm (No. 123)
Unique sites:
In  0.0000  0.0000  0.0000
Hg  0.0000  0.5000  0.0000
N  0.0000  0.0000  0.5000
Cl  0.5000  0.5000  0.5000

***

Number 1: calculated volume 28.543 A^3/atom. Number 2: calculated volume 26.586 A^3/atom. Number 3: calculated volume 31.246 A^3/atom. Number 4: calculated volume 27.054 A^3/atom. Number 5: calculated volume 25.722 A^3/atom. Number 6: calculated volume 26.222 A^3/atom. Number 7: calculated volume 23.877 A^3/atom. Number 8: calculated volume 25.253 A^3/atom.